(1)
! InSiTe, optimized geometry, DFT GGA-PBEsol; values from VASP
! Formation energy from raw total energies ... 0.21 eV per atom
! Energy above the most stable polymorph in this dataset ... 68 meV/atom
! Space group ... I4mm (107)
! Size of the total moment ... 0.00 μB per cell
&SYSTEM
  ibrav = 0, nat = 3, ntyp = 3
/
ATOMIC_SPECIES
In 114.82 In.upf
Si 28.09 Si.upf
Te 127.60 Te.upf
CELL_PARAMETERS angstrom
3.572 0.000 0.000
0.000 3.572 0.000
-1.786 -1.786 5.689
ATOMIC_POSITIONS crystal
In 0.015 0.015 0.031
Si 0.686 0.686 0.372
Te 0.298 0.298 0.597

(2)
! Al2SbBr, optimized geometry, DFT GGA-PBEsol; values from VASP
! Formation energy from raw total energies ... 0.17 eV per atom
! Energy above the most stable polymorph in this dataset ... 199 meV/atom
! Space group ... Pmmm (47)
! Size of the total moment ... 0.00 μB per cell
&SYSTEM
  ibrav = 0, nat = 4, ntyp = 3
/
ATOMIC_SPECIES
Br 79.90 Br.upf
Sb 121.76 Sb.upf
Al 26.98 Al.upf
CELL_PARAMETERS angstrom
3.234 0.000 0.000
0.000 5.215 0.000
0.000 0.000 5.202
ATOMIC_POSITIONS crystal
Br 0.500 0.000 0.500
Sb 0.000 0.500 0.500
Al 0.500 0.500 0.000
Al 0.000 0.000 0.000

(3)
! MnCu4Au, optimized geometry, DFT GGA-PBEsol; values from VASP
! Space group ... F-43m (216)
! Energy of formation ... 7 kJ/mol of atoms
! Size of the total moment ... 4.07 μB per cell
&SYSTEM
  ibrav = 0, nat = 6, ntyp = 3
/
ATOMIC_SPECIES
Cu 63.55 Cu.upf
Mn 54.94 Mn.upf
Au 196.97 Au.upf
CELL_PARAMETERS angstrom
4.767 0.000 0.000
2.384 4.129 0.000
2.384 1.376 3.892
ATOMIC_POSITIONS crystal
Cu 0.874 0.375 0.375
Cu 0.375 0.874 0.375
Cu 0.375 0.375 0.375
Cu 0.375 0.375 0.874
Mn 0.750 0.750 0.750
Au 0.000 0.000 0.000

(4)
! MgCuPb, optimized geometry, DFT GGA-PBEsol; values from VASP
! Space group ... I4mm (107)
! Energy of formation ... 8 kJ/mol of atoms
! Size of the total moment ... 0.00 μB per cell
&SYSTEM
  ibrav = 0, nat = 3, ntyp = 3
/
ATOMIC_SPECIES
Pb 207.20 Pb.upf
Mg 24.30 Mg.upf
Cu 63.55 Cu.upf
CELL_PARAMETERS angstrom
-2.274 1.581 1.693
-1.539 -2.804 0.551
4.950 -0.121 3.650
ATOMIC_POSITIONS crystal
Pb 0.350 0.350 0.700
Mg 0.638 0.638 0.276
Cu 0.012 0.012 0.025